(1)
This record from Alexandria describes Cs2MnNiBr6 after structural relaxation. The functional is PBE.

abc: 7.624 7.624 13.242
angles: 73.27 73.27 60.00
Each line ends with the local moment (μB).
Atoms (fractional coordinates):
1 Cs 0.876 0.876 0.372  0.00
2 Cs 0.124 0.124 0.628  0.00
3 Cs 0.708 0.708 0.876  0.00
4 Cs 0.292 0.292 0.124  0.00
5 Mn 0.588 0.588 0.237  4.25
6 Mn 0.412 0.412 0.763  4.25
7 Ni 0.000 0.000 0.000  -1.21
8 Ni 0.500 0.500 0.500  1.38
9 Br 0.852 0.386 0.375  0.10
10 Br 0.386 0.852 0.375  0.10
11 Br 0.386 0.386 0.375  0.10
12 Br 0.148 0.614 0.625  0.10
13 Br 0.614 0.148 0.625  0.10
14 Br 0.614 0.614 0.625  0.10
15 Br 0.714 0.204 0.879  -0.01
16 Br 0.204 0.714 0.879  -0.01
17 Br 0.204 0.204 0.879  -0.01
18 Br 0.286 0.796 0.121  -0.01
19 Br 0.796 0.286 0.121  -0.01
20 Br 0.796 0.796 0.121  -0.01

Computed properties:
Its space group is R-3m, No. 166.


(2)
This record from Alexandria describes MnIn2Fe after structural relaxation. The functional is PBE.

abc: 5.537 5.537 4.522
angles: 65.64 65.64 33.48
Each line ends with the local moment (μB).
Atoms (fractional coordinates):
1 Fe 0.230 0.230 0.271  2.30
2 In 0.980 0.980 0.019  -0.09
3 In 0.761 0.761 0.740  -0.09
4 Mn 0.530 0.530 0.469  3.11

Computed properties:
The calculation puts the formation energy at 0.239 eV/atom. Its space group is Cm, No. 8.


(3)
This record from Alexandria describes TaFeNi2 after structural relaxation. The functional is PBE.

abc: 3.109 3.109 5.298
angles: 90.00 90.00 90.00
Each line ends with the local moment (μB).
Atoms (fractional coordinates):
1 Fe 0.500 0.500 0.770  1.81
2 Ni 0.000 0.000 0.995  0.43
3 Ni 0.500 0.500 0.237  -0.09
4 Ta 0.000 0.000 0.498  -0.27

Computed properties:
The calculation puts the formation energy at -0.109 eV/atom. Its space group is P4mm, No. 99.


(4)
This record from Alexandria describes LiHo2ErAu4 after structural relaxation. The functional is PBE.

abc: 4.962 4.962 8.630
angles: 73.29 73.29 60.00
Atoms (fractional coordinates):
1 Li 0.500 0.500 0.500
2 Ho 0.756 0.756 0.732
3 Ho 0.244 0.244 0.268
4 Er 0.000 0.000 0.000
5 Au 0.371 0.371 0.886
6 Au 0.878 0.878 0.366
7 Au 0.122 0.122 0.634
8 Au 0.629 0.629 0.114

Computed properties:
The calculation puts the formation energy at -0.796 eV/atom. Its space group is R-3m, No. 166.


In the order shown, the computed energy values come out to -74.753 -22.155 -32.315 -35.110 eV for the cell shown.
In the order shown, the computed calculated density values come out to 4.5 8.2 11.5 12.4 g cm⁻³.